Here is a relaxed structure of Mn3InI from Alexandria via LeMat-Bulk. Energies are from PBE.

Computed properties:
**E_form (uncorrected)**: 1.21 eV/atom
**E**: -5.151 eV/atom
**Offset from the most stable computed form**: 0.000 eV/atom
**Mass density**: 5.71 g cm⁻³

a b c (Å): 4.907 4.907 4.907
angles (deg): 90.00 90.00 90.00
Space group Pm-3m (No. 221)
Asymmetric unit:
Mn1 0.000 0.000 0.500 [3 per cell]
In1 0.500 0.500 0.500 [1 per cell]
I1 0.000 0.000 0.000 [1 per cell]

Here is a relaxed structure of Mn2InI5 from Alexandria via LeMat-Bulk. Energies are from PBE.

Computed properties:
**E_form (uncorrected)**: -0.35 eV/atom
**E**: -3.953 eV/atom
**Mass density**: 3.53 g cm⁻³

a b c (Å): 6.109 18.270 14.483
angles (deg): 90.00 90.00 90.00
Space group Cmcm (No. 63)
Asymmetric unit:
Mn1 0.000 0.220 0.096 [8 per cell]
In1 0.000 0.051 0.750 [4 per cell]
I1 0.000 0.075 0.099 [8 per cell]
I2 0.000 0.269 0.582 [8 per cell]
I3 0.000 0.311 0.250 [4 per cell]

Here is a relaxed structure of Mn3InI9 from Alexandria via LeMat-Bulk. Energies are from PBE.

Computed properties:
**E_form (uncorrected)**: -0.38 eV/atom
**E**: -3.779 eV/atom
**Mass density**: 4.04 g cm⁻³

a b c (Å): 20.232 10.276 14.459
angles (deg): 90.00 128.95 90.00
Space group Cc (No. 9)
Asymmetric unit:
Mn1 0.000 0.062 0.000 [4 per cell]
Mn2 0.135 0.434 0.952 [4 per cell]
Mn3 0.400 0.121 0.606 [4 per cell]
In1 0.268 0.223 0.783 [4 per cell]
I1 0.016 0.246 0.879 [4 per cell]
I2 0.068 0.365 0.296 [4 per cell]
I3 0.127 0.037 0.716 [4 per cell]
I4 0.162 0.450 0.644 [4 per cell]
I5 0.266 0.081 0.600 [4 per cell]
I6 0.266 0.314 0.983 [4 per cell]
I7 0.372 0.351 0.496 [4 per cell]
I8 0.406 0.054 0.972 [4 per cell]
I9 0.417 0.375 0.832 [4 per cell]

Here is a relaxed structure of MnInI from Alexandria via LeMat-Bulk. Energies are from PBE.

Computed properties:
**E_form (uncorrected)**: 0.12 eV/atom
**E**: -4.367 eV/atom
**Mass density**: 5.69 g cm⁻³

a b c (Å): 12.985 3.705 7.229
angles (deg): 90.00 95.17 90.00
Space group Cm (No. 8)
Asymmetric unit:
Mn1 0.000 0.000 0.000 [2 per cell]
Mn2 0.162 0.500 0.049 [2 per cell]
In1 0.042 0.500 0.706 [2 per cell]
In2 0.498 0.000 0.305 [2 per cell]
I1 0.253 0.000 0.296 [2 per cell]
I2 0.314 0.500 0.798 [2 per cell]

Here is a relaxed structure of MnInI from Alexandria via LeMat-Bulk. Energies are from PBE.

Computed properties:
**E_form (uncorrected)**: 0.15 eV/atom
**E**: -4.340 eV/atom
**Mass density**: 5.75 g cm⁻³

a b c (Å): 3.971 3.971 5.438
angles (deg): 90.00 90.00 90.00
Space group P4/mmm (No. 123)
Asymmetric unit:
Mn1 0.000 0.000 0.000 [1 per cell]
In1 0.500 0.500 0.000 [1 per cell]
I1 0.000 0.000 0.500 [1 per cell]

Here is a relaxed structure of MnIn2I6 from Alexandria via LeMat-Bulk. Energies are from PBE.

Computed properties:
**E_form (uncorrected)**: -0.44 eV/atom
**E**: -3.103 eV/atom
**Offset from the most stable computed form**: 0.000 eV/atom
**Mass density**: 4.49 g cm⁻³

a b c (Å): 7.5218 7.5218 23.6865
angles (deg): 90.00 90.00 120.00
Space group R3 (No. 146, hexagonal axes)
Asymmetric unit:
Mn1 0.0000 0.0000 0.0000 [3 per cell]
In1 0.0000 0.0000 0.3324 [3 per cell]
In2 0.0000 0.0000 0.5090 [3 per cell]
I1 0.0047 0.3545 0.7353 [9 per cell]
I2 0.0069 0.6326 0.5930 [9 per cell]

Here is a relaxed structure of MnIn2I8 from Alexandria via LeMat-Bulk. Energies are from PBE.

Computed properties:
**E_form (uncorrected)**: -0.47 eV/atom
**E**: -2.928 eV/atom
**Mass density**: 3.97 g cm⁻³

a b c (Å): 21.085 9.620 14.171
angles (deg): 90.00 130.92 90.00
Space group C2/c (No. 15)
Asymmetric unit:
Mn1 0.000 0.009 0.250 [4 per cell]
In1 0.083 0.245 0.532 [8 per cell]
I1 0.077 0.215 0.202 [8 per cell]
I2 0.084 0.229 0.729 [8 per cell]
I3 0.149 0.005 0.511 [8 per cell]
I4 0.164 0.479 0.559 [8 per cell]

Here is a relaxed structure of MnIn2I from Alexandria via LeMat-Bulk. Energies are from PBE.

Computed properties:
**E_form (uncorrected)**: 0.50 eV/atom
**E**: -3.549 eV/atom
**Offset from the most stable computed form**: 0.078 eV/atom
**Mass density**: 5.78 g cm⁻³

a b c (Å): 7.793 7.793 7.793
angles (deg): 90.00 90.00 90.00
Space group Fm-3m (No. 225)
Asymmetric unit:
Mn1 0.000 0.000 0.000 [4 per cell]
In1 0.250 0.250 0.250 [8 per cell]
I1 0.000 0.000 0.500 [4 per cell]

Here is a relaxed structure of MnIn6I8 from Alexandria via LeMat-Bulk. Energies are from PBE.

Computed properties:
**E_form (uncorrected)**: -0.44 eV/atom
**E**: -2.969 eV/atom
**Mass density**: 4.69 g cm⁻³

a b c (Å): 10.4282 10.4282 19.8442
angles (deg): 90.00 90.00 120.00
Space group R-3 (No. 148, hexagonal axes)
Asymmetric unit:
Mn1 0.0000 0.0000 0.0000 [3 per cell]
In1 0.0215 0.3905 0.9299 [18 per cell]
I1 0.0000 0.0000 0.3340 [6 per cell]
I2 0.0043 0.2321 0.0843 [18 per cell]

Here is a relaxed structure of Mn3InI8 from Alexandria via LeMat-Bulk. Energies are from PBE.

Computed properties:
**E_form (uncorrected)**: -0.42 eV/atom
**E**: -3.975 eV/atom
**Mass density**: 4.61 g cm⁻³

a b c (Å): 14.714 8.498 8.980
angles (deg): 90.00 123.76 90.00
Space group C2/m (No. 12)
Asymmetric unit:
Mn1 0.000 0.000 0.000 [2 per cell]
Mn2 0.250 0.250 0.000 [4 per cell]
In1 0.000 0.500 0.000 [2 per cell]
I1 0.012 0.236 0.776 [8 per cell]
I2 0.241 0.000 0.220 [4 per cell]
I3 0.248 0.000 0.776 [4 per cell]

Here is a relaxed structure of MnIn3I from Alexandria via LeMat-Bulk. Energies are from PBE.

Computed properties:
**E_form (uncorrected)**: 0.93 eV/atom
**E**: -2.857 eV/atom
**Offset from the most stable computed form**: 0.792 eV/atom
**Mass density**: 3.63 g cm⁻³

a b c (Å): 6.220 6.220 6.220
angles (deg): 90.00 90.00 90.00
Space group Pm-3m (No. 221)
Asymmetric unit:
Mn1 0.000 0.000 0.000 [1 per cell]
In1 0.000 0.500 0.500 [3 per cell]
I1 0.500 0.500 0.500 [1 per cell]

Here is a relaxed structure of MnInI from Alexandria via LeMat-Bulk. Energies are from PBE.

Computed properties:
**E_form (uncorrected)**: 0.24 eV/atom
**E**: -4.250 eV/atom
**Mass density**: 6.15 g cm⁻³

a b c (Å): 3.674 5.361 8.174
angles (deg): 85.77 87.06 87.32
Space group P-1 (No. 2)
Asymmetric unit:
Mn1 0.204 0.425 0.068 [2 per cell]
In1 0.253 0.881 0.132 [2 per cell]
I1 0.262 0.725 0.685 [2 per cell]

Here is a relaxed structure of MnInI3 from Alexandria via LeMat-Bulk. Energies are from PBE.

Computed properties:
**E_form (uncorrected)**: -0.32 eV/atom
**E**: -3.635 eV/atom
**Offset from the most stable computed form**: 0.103 eV/atom
**Mass density**: 4.85 g cm⁻³

a b c (Å): 5.733 5.733 5.733
angles (deg): 90.00 90.00 90.00
Space group Pm-3m (No. 221)
Asymmetric unit:
Mn1 0.000 0.000 0.000 [1 per cell]
In1 0.500 0.500 0.500 [1 per cell]
I1 0.000 0.000 0.500 [3 per cell]

Here is a relaxed structure of MnIn5I8 from Alexandria via LeMat-Bulk. Energies are from PBE.

Computed properties:
**E_form (uncorrected)**: -0.42 eV/atom
**E**: -2.934 eV/atom
**Mass density**: 4.26 g cm⁻³

a b c (Å): 9.680 9.680 13.695
angles (deg): 90.00 90.00 90.00
Space group I-4 (No. 82)
Asymmetric unit:
Mn1 0.000 0.000 0.000 [2 per cell]
In1 0.000 0.500 0.250 [2 per cell]
In2 0.001 0.743 0.628 [8 per cell]
I1 0.001 0.754 0.377 [8 per cell]
I2 0.001 0.772 0.886 [8 per cell]

Here is a relaxed structure of Mn3In6I14 from Alexandria via LeMat-Bulk. Energies are from PBE.

Computed properties:
**E_form (uncorrected)**: -0.41 eV/atom
**E**: -3.262 eV/atom
**Mass density**: 4.80 g cm⁻³

a b c (Å): 11.9284 11.9284 7.3802
angles (deg): 90.00 90.00 120.00
Space group P3 (No. 143)
Asymmetric unit:
Mn1 0.0000 0.0000 0.0000 [1 per cell]
Mn2 0.3333 0.6667 0.4825 [1 per cell]
Mn3 0.6667 0.3333 0.4018 [1 per cell]
In1 0.0329 0.5578 0.0559 [3 per cell]
In2 0.2946 0.0962 0.5736 [3 per cell]
I1 0.0000 0.0000 0.3603 [1 per cell]
I2 0.0861 0.8514 0.8548 [3 per cell]
I3 0.1971 0.4289 0.3407 [3 per cell]
I4 0.3333 0.6667 0.8437 [1 per cell]
I5 0.4434 0.2039 0.1771 [3 per cell]
I6 0.5309 0.4220 0.6279 [3 per cell]

Here is a relaxed structure of Mn2In2I7 from Alexandria via LeMat-Bulk. Energies are from PBE.

Computed properties:
**E_form (uncorrected)**: -0.37 eV/atom
**E**: -3.520 eV/atom
**Mass density**: 3.96 g cm⁻³

a b c (Å): 8.961 14.541 7.987
angles (deg): 90.00 98.19 90.00
Space group C2/m (No. 12)
Asymmetric unit:
Mn1 0.222 0.000 0.120 [4 per cell]
In1 0.000 0.191 0.500 [4 per cell]
I1 0.000 0.500 0.000 [2 per cell]
I2 0.074 0.000 0.785 [4 per cell]
I3 0.222 0.332 0.742 [8 per cell]

Here is a relaxed structure of MnInI from Alexandria via LeMat-Bulk. Energies are from PBE.

Computed properties:
**E_form (uncorrected)**: 0.18 eV/atom
**E**: -4.304 eV/atom
**Mass density**: 5.58 g cm⁻³

a b c (Å): 3.776 3.791 6.169
angles (deg): 90.00 90.57 90.00
Space group Pm (No. 6)
Asymmetric unit:
Mn1 0.000 0.000 0.000 [1 per cell]
In1 0.503 0.500 0.181 [1 per cell]
I1 0.495 0.000 0.669 [1 per cell]

Here is a relaxed structure of MnInI from Alexandria via LeMat-Bulk. Energies are from PBE.

Computed properties:
**E_form (uncorrected)**: 0.05 eV/atom
**E**: -4.437 eV/atom
**Mass density**: 5.65 g cm⁻³

a b c (Å): 4.031 4.119 10.707
angles (deg): 101.07 90.10 90.00
Space group P1 (No. 1)
Asymmetric unit:
Mn1 0.000 0.000 0.000 [1 per cell]
Mn2 0.499 0.904 0.808 [1 per cell]
In1 0.500 0.509 0.018 [1 per cell]
In2 0.999 0.395 0.790 [1 per cell]
I1 0.000 0.119 0.244 [1 per cell]
I2 0.500 0.782 0.564 [1 per cell]

Here is a relaxed structure of MnInI from Alexandria via LeMat-Bulk. Energies are from PBE.

Computed properties:
**E_form (uncorrected)**: 0.25 eV/atom
**E**: -4.240 eV/atom
**Mass density**: 6.09 g cm⁻³

a b c (Å): 3.626 6.723 7.453
angles (deg): 65.64 80.25 79.04
Space group P-1 (No. 2)
Asymmetric unit:
Mn1 0.186 0.106 0.439 [2 per cell]
In1 0.276 0.045 0.813 [2 per cell]
I1 0.308 0.562 0.736 [2 per cell]

Here is a relaxed structure of MnIn2I from Alexandria via LeMat-Bulk. Energies are from PBE.

Computed properties:
**E_form (uncorrected)**: 0.42 eV/atom
**E**: -3.627 eV/atom
**Offset from the most stable computed form**: 0.000 eV/atom
**Mass density**: 4.79 g cm⁻³

a b c (Å): 5.654 5.654 17.834
angles (deg): 90.00 90.00 90.00
Space group I-42d (No. 122)
Asymmetric unit:
Mn1 0.000 0.000 0.000 [4 per cell]
In1 0.134 0.250 0.125 [8 per cell]
I1 0.000 0.000 0.500 [4 per cell]